1.
A geometry-optimized CuPdI2 structure. Source: Alexandria via LeMat-Bulk, functional PBE-GGA.

```
CuPdI2
1.0
-5.582 -2.588 0.423
1.142 -1.503 5.871
-4.546 3.267 4.959
I Cu Pd
4 2 2
Cartesian
-4.410 -0.955 2.233
-1.193 -0.480 4.968
-5.060 0.897 6.156
-7.310 -1.110 9.151
-2.220 -2.046 3.147
-2.812 -0.141 6.989
0.000 0.000 0.000
-6.174 -0.683 4.265
```

Summary:
The formation energy without anion corrections comes out at -0.024 eV/atom. The theoretical density is 6.09 g/cm3. Its total magnetic moment is 0.00 μB per formula unit. Its polymorph energy (0 for the lowest one) is 0.5 kJ/mol of atoms.

2.
A geometry-optimized CuPd3I structure. Source: Alexandria via LeMat-Bulk, functional PBE-GGA.

```
CuPd3I
1.0
-0.053 -0.457 -4.665
4.632 -0.718 0.018
-0.717 -4.610 0.460
I Cu Pd
1 1 3
Cartesian
1.931 -2.893 -2.094
0.000 0.000 0.000
2.316 -0.359 0.009
-0.358 -2.305 0.230
-0.027 -0.229 -2.333
```

Summary:
The formation energy without anion corrections comes out at 0.598 eV/atom. The theoretical density is 8.22 g/cm3. Its total magnetic moment is 0.00 μB per formula unit. Its polymorph energy (0 for the lowest one) is 0.0 kJ/mol of atoms.

Q: Among the records above, which one has the highest theoretical density?
A: CuPd3I